[1]
Crystalline CdCo2Si at its relaxed geometry, computed with GGA-PBE.

symmetry	P4mm, No. 99
formation energy from raw total energies	146.9	meV per atom
theoretical density	7.61	g cm⁻³
DFT total energy	-0.1834	Ha/atom
spin magnetization	2.4	Bohr magnetons per cell

Unit cell a=2.9705 b=2.9705 c=6.3908 alpha=90.00 beta=90.00 gamma=90.00
Last column: nearest neighbours and their distance in Å.
Atoms (fractional coordinates):
1 Cd 0.5000 0.5000 0.7675  4 Co 2.75, 4 Cd 2.97, 4 Si 3.04
2 Co 0.0000 0.0000 0.0453  1 Si 2.42, 4 Co 2.52
3 Co 0.5000 0.5000 0.2628  4 Si 2.34, 4 Co 2.52
4 Si 0.0000 0.0000 0.4244  5 Co 2.34-2.42


[2]
Crystalline MgIO2 at its relaxed geometry, computed with GGA-PBE.

symmetry	R-3m, No. 166
formation energy from raw total energies	-304.8	meV per atom
theoretical density	4.25	g cm⁻³
DFT total energy	-0.1312	Ha/atom
spin magnetization	0.0	Bohr magnetons per cell

Unit cell a=5.6297 b=5.6297 c=5.6297 alpha=41.78 beta=41.78 gamma=41.78
Last column: nearest neighbours and their distance in Å.
Atoms (fractional coordinates):
1 I 0.5000 0.5000 0.5000  6 O 2.41
2 Mg 0.0000 0.0000 0.0000  2 O 1.90
3 O 0.8766 0.8766 0.8766  1 Mg 1.90
4 O 0.1234 0.1234 0.1234  1 Mg 1.90


[3]
Crystalline Li2Ca8Cu at its relaxed geometry, computed with GGA-PBE.

symmetry	C2/m, No. 12
theoretical density	1.75	g cm⁻³
DFT total energy	-0.0794	Ha/atom
DFT formation energy	0.016	eV/atom
spin magnetization	0.0	Bohr magnetons per cell

Unit cell a=5.6544 b=7.2734 c=9.7308 alpha=81.86 beta=106.89 gamma=90.00
Last column: nearest neighbours and their distance in Å.
Atoms (fractional coordinates):
1 Li 0.1650 0.8315 0.3300  8 Ca 3.31-3.66
2 Li 0.8350 0.1685 0.6700  8 Ca 3.31-3.66
3 Ca 0.5871 0.6098 0.1742  1 Cu 3.05
4 Ca 0.3446 0.9212 0.6892  1 Cu 3.03, 2 Li 3.34
5 Ca 0.2110 0.3738 0.4219  1 Li 3.31
6 Ca 0.9758 0.7758 0.9516  2 Cu 3.33, 3 Ca 3.51-3.61, 2 Li 3.58-3.61
7 Ca 0.7890 0.6262 0.5781  1 Li 3.31
8 Ca 0.6554 0.0788 0.3108  1 Cu 3.03, 2 Li 3.34
9 Ca 0.4129 0.3902 0.8258  1 Cu 3.05
10 Ca 0.0242 0.2242 0.0484  2 Cu 3.33, 3 Ca 3.51-3.61, 2 Li 3.58-3.61
11 Cu 0.5000 0.0000 0.0000  8 Ca 3.03-3.33


[4]
Crystalline CaGaNi2Mo at its relaxed geometry, computed with GGA-PBE.

symmetry	P4/mmm, No. 123
theoretical density	4.82	g cm⁻³
DFT total energy	-0.1631	Ha/atom
DFT formation energy	1.046	eV/atom
spin magnetization	0.0	Bohr magnetons per cell

Unit cell a=4.5568 b=5.3594 c=4.5568 alpha=90.00 beta=90.00 gamma=90.00
Last column: nearest neighbours and their distance in Å.
Atoms (fractional coordinates):
1 Ni 0.0000 0.0000 0.5000  2 Mo 2.28
2 Ni 0.5000 0.0000 0.0000  2 Mo 2.28
3 Mo 0.0000 0.0000 0.0000  4 Ni 2.28
4 Ca 0.0000 0.5000 0.0000  2 Mo 2.68
5 Ga 0.5000 0.5000 0.5000  4 Ca 3.22, 8 Ni 3.52


What did the second record say?
Crystalline MgIO2 at its relaxed geometry, computed with GGA-PBE.

symmetry	R-3m, No. 166
formation energy from raw total energies	-304.8	meV per atom
theoretical density	4.25	g cm⁻³
DFT total energy	-0.1312	Ha/atom
spin magnetization	0.0	Bohr magnetons per cell

Unit cell a=5.6297 b=5.6297 c=5.6297 alpha=41.78 beta=41.78 gamma=41.78
Last column: nearest neighbours and their distance in Å.
Atoms (fractional coordinates):
1 I 0.5000 0.5000 0.5000  6 O 2.41
2 Mg 0.0000 0.0000 0.0000  2 O 1.90
3 O 0.8766 0.8766 0.8766  1 Mg 1.90
4 O 0.1234 0.1234 0.1234  1 Mg 1.90